No. 1
SrMnTe2 (SCAN, PBEsol geometry); formation energy (no corrections) = -759 meV/atom; polymorph energy (0 for the lowest one) = 0.399 eV/atom; M_tot = 1.22 μB per atom
1.0
3.8620 0.0000 0.0000
0.0000 5.2999 0.0000
0.0000 0.0000 5.2999
Mn Sr Te
1 1 2
direct
0.5000 0.5000 0.5000
0.5000 0.0000 0.0000
0.0000 0.0000 0.5000
0.0000 0.5000 0.0000

***

No. 2
CaFe2Pt (SCAN, PBEsol geometry); energy of formation = -0.3 eV per formula unit; M_tot = 1.38 μB per atom
1.0
-2.1882 0.6542 -1.9434
-1.9955 -1.3338 1.7979
-1.0916 6.0225 3.2564
Ca Fe Pt
1 2 1
direct
0.5000 0.5000 0.7541
0.0000 0.0000 0.0680
0.5000 0.5000 0.2223
0.0000 0.0000 0.4557

***

Question: M_tot of number 1 (SrMnTe2)?
Answer: 1.22 μB per atom